This record from OQMD describes a relaxed LiCdSb crystal. The functional is GGA-PBE.

The structure belongs to space group Pnma (No. 62); the cell edges are 7.130, 3.971 and 9.314 Å and the angles 90.00°, 90.00° and 90.00°. Symmetry generates all atoms from Li at (0.246, 0.250, 0.156), Cd at (0.133, 0.750, 0.940) and Sb at (0.046, 0.750, 0.370).

As for the theoretical density: 6.1 g/cm³. Its crystal system is orthorhombic. Its total energy is -29.656 eV per cell.